1.
An optimized crystal structure of CaY2ThP4, computed with PBE.

Results
Total DFT energy (no corrections)   -6.9933 eV per atom
DOS at the Fermi energy   0.94 states/eV per cell
Space-group type   P2/m, No. 10

Cell: 7.040 4.097 7.082 Å, 90.00 109.19 90.00°
Positions (direct):
Ca (0.000, 0.000, 0.000)
Y (0.000, 0.500, 0.500)
Y (0.500, 0.000, 0.500)
Th (0.500, 0.500, 0.000)
P (0.250, 0.000, 0.744)
P (0.257, 0.500, 0.257)
P (0.743, 0.500, 0.743)
P (0.750, 0.000, 0.256)

=====

2.
An optimized crystal structure of Ca3Th2ZrP6, computed with PBE.

Results
Total DFT energy (no corrections)   -6.4875 eV per atom
DOS at the Fermi energy   0.19 states/eV per cell
Space-group type   C2/m, No. 12

Cell: 7.085 7.085 7.097 Å, 99.61 99.61 120.01°
Positions (direct):
Ca (0.000, 0.000, 0.000)
Ca (0.332, 0.668, 0.000)
Ca (0.668, 0.332, 0.000)
Th (0.166, 0.834, 0.500)
Th (0.834, 0.166, 0.500)
Zr (0.500, 0.500, 0.500)
P (0.104, 0.422, 0.266)
P (0.260, 0.260, 0.733)
P (0.422, 0.104, 0.266)
P (0.578, 0.896, 0.734)
P (0.740, 0.740, 0.267)
P (0.896, 0.578, 0.734)

=====

3.
An optimized crystal structure of Ca2ThZrP4, computed with PBE.

Results
Total DFT energy (no corrections)   -6.5019 eV per atom
DOS at the Fermi energy   0.59 states/eV per cell
Space-group type   P2/m, No. 10

Cell: 6.981 4.038 7.062 Å, 90.00 109.12 90.00°
Positions (direct):
Ca (0.000, 0.000, 0.000)
Ca (0.500, 0.500, 0.000)
Th (0.000, 0.500, 0.500)
Zr (0.500, 0.000, 0.500)
P (0.260, 0.000, 0.735)
P (0.271, 0.500, 0.272)
P (0.729, 0.500, 0.728)
P (0.740, 0.000, 0.265)

=====

4.
An optimized crystal structure of CaTiP, computed with PBE.

Results
Total DFT energy (no corrections)   -6.0391 eV per atom
DOS at the Fermi energy   2.69 states/eV per cell
Space-group type   P4/nmm, No. 129

Cell: 3.936 3.936 7.704 Å, 90.00 90.00 90.00°
Positions (direct):
Ca (0.250, 0.250, 0.157)
Ca (0.750, 0.750, 0.843)
Ti (0.250, 0.750, 0.500)
Ti (0.750, 0.250, 0.500)
P (0.250, 0.250, 0.724)
P (0.750, 0.750, 0.276)

=====

5.
An optimized crystal structure of CaTi2P, computed with PBE.

Results
Total DFT energy (no corrections)   -5.8721 eV per atom
DOS at the Fermi energy   24.37 states/eV per cell
Space-group type   I-42d, No. 122

Cell: 7.734 7.734 5.587 Å, 90.00 90.00 90.00°
Positions (direct):
Ca (0.000, 0.000, 0.000)
Ca (0.000, 0.500, 0.250)
Ca (0.500, 0.000, 0.750)
Ca (0.500, 0.500, 0.500)
Ti (0.173, 0.250, 0.625)
Ti (0.250, 0.673, 0.875)
Ti (0.250, 0.827, 0.375)
Ti (0.327, 0.250, 0.125)
Ti (0.673, 0.750, 0.125)
Ti (0.750, 0.173, 0.375)
Ti (0.750, 0.327, 0.875)
Ti (0.827, 0.750, 0.625)
P (0.000, 0.000, 0.500)
P (0.000, 0.500, 0.750)
P (0.500, 0.000, 0.250)
P (0.500, 0.500, 0.000)

=====

6.
An optimized crystal structure of Ca2TiP2, computed with PBE.

Results
Total DFT energy (no corrections)   -5.3893 eV per atom
DOS at the Fermi energy   2.30 states/eV per cell
Space-group type   P4/mbm, No. 127

Cell: 7.033 7.033 4.168 Å, 90.00 90.00 90.00°
Positions (direct):
Ca (0.152, 0.348, 0.000)
Ca (0.348, 0.848, 0.000)
Ca (0.652, 0.152, 0.000)
Ca (0.848, 0.652, 0.000)
Ti (0.000, 0.000, 0.500)
Ti (0.500, 0.500, 0.500)
P (0.163, 0.663, 0.500)
P (0.337, 0.163, 0.500)
P (0.663, 0.837, 0.500)
P (0.837, 0.337, 0.500)

=====

7.
An optimized crystal structure of Ca2UTiP4, computed with PBE.

Results
Total DFT energy (no corrections)   -6.6572 eV per atom
DOS at the Fermi energy   6.99 states/eV per cell
Space-group type   P2/m, No. 10

Cell: 6.638 3.895 6.947 Å, 90.00 108.58 90.00°
Positions (direct):
Ca (0.000, 0.000, 0.000)
Ca (0.500, 0.500, 0.000)
U (0.000, 0.500, 0.500)
Ti (0.500, 0.000, 0.500)
P (0.254, 0.000, 0.722)
P (0.272, 0.500, 0.285)
P (0.728, 0.500, 0.715)
P (0.746, 0.000, 0.278)

=====

8.
An optimized crystal structure of Ca3U2TiP6, computed with PBE.

Results
Total DFT energy (no corrections)   -6.7987 eV per atom
DOS at the Fermi energy   12.44 states/eV per cell
Space-group type   C2/m, No. 12

Cell: 6.772 6.772 7.006 Å, 99.30 99.30 120.01°
Positions (direct):
Ca (0.000, 0.000, 0.000)
Ca (0.331, 0.669, 0.000)
Ca (0.669, 0.331, 0.000)
U (0.166, 0.834, 0.500)
U (0.834, 0.166, 0.500)
Ti (0.500, 0.500, 0.500)
P (0.105, 0.426, 0.279)
P (0.253, 0.253, 0.723)
P (0.426, 0.105, 0.279)
P (0.574, 0.895, 0.721)
P (0.747, 0.747, 0.277)
P (0.895, 0.574, 0.721)